Here is crystalline RbSrAu3 at its relaxed geometry from Alexandria. Energies are from GGA-PBE.

## Properties
**Crystal system**: cubic
**Electronic total energy**: -2.686 eV/atom
**Volume**: 42.7 A^3/atom
**Distance to the lowest polymorph of the same formula**: 0.00 eV per formula unit

Unit cell a=5.9778 b=5.9778 c=5.9778 alpha=90.00 beta=90.00 gamma=90.00
Closest atoms and distances in Å follow each position.
Positions (direct):
Rb 0.0000 0.0000 0.0000  12 Au 4.23
Sr 0.5000 0.5000 0.5000  6 Au 2.99
Au 0.0000 0.5000 0.5000  2 Sr 2.99
Au 0.5000 0.0000 0.5000  2 Sr 2.99
Au 0.5000 0.5000 0.0000  2 Sr 2.99